(1)
DFT (GGA-PBE) results for an optimized crystal structure of Pr2GaCo2.

## Properties
Calculated total energy = -112.5 eV for the cell shown
Calculated formation energy = -265 meV/atom
Magnetization = 1.78 μB/cell

Cell lengths 9.561, 5.609, 7.741 Å; angles 90.00, 103.93, 90.00 degrees
Space group C2/c (No. 15)
Asymmetric unit:
1 Pr 0.145 0.149 0.145 [8 per cell]
2 Ga 0.000 0.375 0.750 [4 per cell]
3 Co 0.144 0.355 0.505 [8 per cell]

***

(2)
DFT (GGA-PBE) results for an optimized crystal structure of Pr2Ga9Co3.

## Properties
Calculated total energy = -258.2 eV for the cell shown
Calculated formation energy = -460 meV/atom
Magnetization = 0.00 μB/cell

Cell lengths 12.971, 7.457, 10.571 Å; angles 90.00, 114.40, 90.00 degrees
Space group C2/c (No. 15)
Asymmetric unit:
1 Pr 0.168 0.084 0.250 [8 per cell]
2 Ga 0.000 0.372 0.250 [4 per cell]
3 Ga 0.061 0.085 0.931 [8 per cell]
4 Ga 0.100 0.417 0.052 [8 per cell]
5 Ga 0.104 0.313 0.749 [8 per cell]
6 Ga 0.225 0.419 0.431 [8 per cell]
7 Co 0.085 0.246 0.501 [8 per cell]
8 Co 0.250 0.250 0.000 [4 per cell]

***

(3)
DFT (GGA-PBE) results for an optimized crystal structure of Pr2GaCo.

## Properties
Calculated total energy = -56.9 eV for the cell shown
Calculated formation energy = 181 meV/atom
Magnetization = 0.00 μB/cell

Cell lengths 3.8896, 3.8896, 28.6140 Å; angles 90.00, 90.00, 120.00 degrees
Space group R-3m (No. 166, hexagonal axes)
Asymmetric unit:
1 Pr 0.0000 0.0000 0.1119 [6 per cell]
2 Ga 0.0000 0.0000 0.0000 [3 per cell]
3 Co 0.0000 0.0000 0.5000 [3 per cell]

***

(4)
DFT (GGA-PBE) results for an optimized crystal structure of Pr4GaCo2.

## Properties
Calculated total energy = -111.2 eV for the cell shown
Calculated formation energy = -102 meV/atom
Magnetization = 0.02 μB/cell

Cell lengths 4.8764, 4.8764, 26.4101 Å; angles 90.00, 90.00, 120.00 degrees
Space group R-3m (No. 166, hexagonal axes)
Asymmetric unit:
1 Pr 0.0000 0.0000 0.1166 [6 per cell]
2 Pr 0.0000 0.0000 0.2941 [6 per cell]
3 Ga 0.0000 0.0000 0.5000 [3 per cell]
4 Co 0.0000 0.0000 0.4081 [6 per cell]

***

(5)
DFT (GGA-PBE) results for an optimized crystal structure of Pr3Ga7Co2.

## Properties
Calculated total energy = -111.1 eV for the cell shown
Calculated formation energy = -484 meV/atom
Magnetization = 0.00 μB/cell

Cell lengths 4.556, 22.976, 4.596 Å; angles 90.00, 90.00, 90.00 degrees
Space group Cmmm (No. 65)
Asymmetric unit:
1 Pr 0.000 0.000 0.000 [2 per cell]
2 Pr 0.000 0.186 0.000 [4 per cell]
3 Ga 0.000 0.096 0.500 [4 per cell]
4 Ga 0.000 0.286 0.500 [4 per cell]
5 Ga 0.000 0.405 0.000 [4 per cell]
6 Ga 0.000 0.500 0.500 [2 per cell]
7 Co 0.000 0.396 0.500 [4 per cell]

***

(6)
DFT (GGA-PBE) results for an optimized crystal structure of Pr8Ga2Co.

## Properties
Calculated total energy = -106.9 eV for the cell shown
Calculated formation energy = -185 meV/atom
Magnetization = 0.00 μB/cell

Cell lengths 18.637, 5.009, 7.051 Å; angles 90.00, 100.39, 90.00 degrees
Space group C2/m (No. 12)
Asymmetric unit:
1 Pr 0.017 0.000 0.280 [4 per cell]
2 Pr 0.093 0.500 0.965 [4 per cell]
3 Pr 0.149 0.500 0.481 [4 per cell]
4 Pr 0.210 0.000 0.809 [4 per cell]
5 Ga 0.186 0.000 0.243 [4 per cell]
6 Co 0.000 0.500 0.500 [2 per cell]

***

(7)
DFT (GGA-PBE) results for an optimized crystal structure of Pr2GaCo.

## Properties
Calculated total energy = -41.5 eV for the cell shown
Calculated formation energy = -264 meV/atom
Magnetization = 0.62 μB/cell

Cell lengths 7.327, 4.278, 7.142 Å; angles 90.00, 110.21, 90.00 degrees
Space group Cm (No. 8)
Asymmetric unit:
1 Pr 0.000 0.000 0.000 [2 per cell]
2 Pr 0.180 0.000 0.537 [2 per cell]
3 Ga 0.424 0.000 0.266 [2 per cell]
4 Co 0.262 0.500 0.272 [2 per cell]

***

(8)
DFT (GGA-PBE) results for an optimized crystal structure of Pr3Ga5Co12.

## Properties
Calculated total energy = -790.9 eV for the cell shown
Calculated formation energy = 794 meV/atom
Magnetization = 109.12 μB/cell

Cell lengths 14.580, 14.580, 14.580 Å; angles 90.00, 90.00, 90.00 degrees
Space group Ia-3d (No. 230)
Asymmetric unit:
1 Pr 0.000 0.250 0.125 [24 per cell]
2 Ga 0.000 0.000 0.000 [16 per cell]
3 Ga 0.000 0.250 0.375 [24 per cell]
4 Co 0.004 0.067 0.648 [96 per cell]

***

(9)
DFT (GGA-PBE) results for an optimized crystal structure of PrGa2Co3.

## Properties
Calculated total energy = -34.0 eV for the cell shown
Calculated formation energy = -312 meV/atom
Magnetization = 0.48 μB/cell

Cell lengths 5.3479, 5.3479, 3.7431 Å; angles 90.00, 90.00, 120.00 degrees
Space group P6/mmm (No. 191)
Asymmetric unit:
1 Pr 0.0000 0.0000 0.0000 [1 per cell]
2 Ga 0.3333 0.6667 0.0000 [2 per cell]
3 Co 0.0000 0.5000 0.5000 [3 per cell]

***

(10)
DFT (GGA-PBE) results for an optimized crystal structure of PrGa8Co2.

## Properties
Calculated total energy = -43.1 eV for the cell shown
Calculated formation energy = 12 meV/atom
Magnetization = 0.00 μB/cell

Cell lengths 5.648, 5.648, 7.669 Å; angles 90.00, 90.00, 90.00 degrees
Space group P4/mmm (No. 123)
Asymmetric unit:
1 Pr 0.000 0.000 0.000 [1 per cell]
2 Ga 0.253 0.253 0.318 [8 per cell]
3 Co 0.000 0.500 0.500 [2 per cell]

***

(11)
DFT (GGA-PBE) results for an optimized crystal structure of PrGa4Co4.

## Properties
Calculated total energy = -95.5 eV for the cell shown
Calculated formation energy = -269 meV/atom
Magnetization = 0.44 μB/cell

Cell lengths 5.637, 5.637, 8.533 Å; angles 90.00, 90.00, 90.00 degrees
Space group P4_2/nmc (No. 137, origin choice 2)
Asymmetric unit:
1 Pr 0.250 0.750 0.250 [2 per cell]
2 Ga 0.031 0.250 0.057 [8 per cell]
3 Co 0.028 0.250 0.344 [8 per cell]

***

(12)
DFT (GGA-PBE) results for an optimized crystal structure of Pr3GaCo.

## Properties
Calculated total energy = -51.0 eV for the cell shown
Calculated formation energy = -210 meV/atom
Magnetization = 1.11 μB/cell

Cell lengths 3.805, 8.510, 8.635 Å; angles 89.44, 89.97, 77.10 degrees
Space group P-1 (No. 2)
Asymmetric unit:
1 Pr 0.045 0.410 0.188 [2 per cell]
2 Pr 0.251 0.998 0.801 [2 per cell]
3 Pr 0.397 0.707 0.454 [2 per cell]
4 Ga 0.390 0.721 0.081 [2 per cell]
5 Co 0.218 0.064 0.452 [2 per cell]